[1]
Below is a geometry-optimized AlSi5 structure, with properties calculated at the PBE level.

Geometry as CIF:
```
data_AlSi5
_chemical_formula_sum 'Al1 Si5'
_symmetry_space_group_name_H-M 'P 6/m m m'
_symmetry_Int_Tables_number 191
_symmetry_space_group_name_Hall '-P 6 2'
_cell_length_a 5.1092
_cell_length_b 5.1092
_cell_length_c 4.2574
_cell_angle_alpha 90.00
_cell_angle_beta 90.00
_cell_angle_gamma 120.00
loop_
_atom_site_label
_atom_site_type_symbol
_atom_site_fract_x
_atom_site_fract_y
_atom_site_fract_z
Al1 Al 0.0000 0.0000 0.0000
Si1 Si 0.0000 0.5000 0.5000
Si2 Si 0.3333 0.6667 0.0000
```

Calculated values
The energy above the lowest structure with this stoichiometry comes out at 0.834 eV/f.u.

[2]
Below is a geometry-optimized AlSi3 structure, with properties calculated at the PBE level.

Geometry as CIF:
```
data_AlSi3
_chemical_formula_sum 'Al3 Si9'
_symmetry_space_group_name_H-M 'R -3 m'
_symmetry_Int_Tables_number 166
_symmetry_space_group_name_Hall '-R 3 2"'
_cell_length_a 8.9956
_cell_length_b 8.9956
_cell_length_c 2.6039
_cell_angle_alpha 90.00
_cell_angle_beta 90.00
_cell_angle_gamma 120.00
loop_
_atom_site_label
_atom_site_type_symbol
_atom_site_fract_x
_atom_site_fract_y
_atom_site_fract_z
Al1 Al 0.0000 0.0000 0.0000
Si1 Si 0.0000 0.5000 0.0000
```

Calculated values
The energy above the lowest structure with this stoichiometry comes out at 0.630 eV/f.u.

[3]
Below is a geometry-optimized AlSi5 structure, with properties calculated at the PBE level.

Geometry as CIF:
```
data_AlSi5
_chemical_formula_sum 'Al2 Si10'
_symmetry_space_group_name_H-M 'C m m m'
_symmetry_Int_Tables_number 65
_symmetry_space_group_name_Hall '-C 2 2'
_cell_length_a 2.6568
_cell_length_b 14.7442
_cell_length_c 4.6257
_cell_angle_alpha 90.00
_cell_angle_beta 90.00
_cell_angle_gamma 90.00
loop_
_atom_site_label
_atom_site_type_symbol
_atom_site_fract_x
_atom_site_fract_y
_atom_site_fract_z
Al1 Al 0.0000 0.0000 0.0000
Si1 Si 0.0000 0.1538 0.5000
Si2 Si 0.0000 0.3257 0.0000
Si3 Si 0.0000 0.5000 0.5000
```

Calculated values
The energy above the lowest structure with this stoichiometry comes out at 0.009 eV/f.u.

[4]
Below is a geometry-optimized AlSi2 structure, with properties calculated at the PBE level.

Geometry as CIF:
```
data_AlSi2
_chemical_formula_sum 'Al1 Si2'
_symmetry_space_group_name_H-M 'P 6/m m m'
_symmetry_Int_Tables_number 191
_symmetry_space_group_name_Hall '-P 6 2'
_cell_length_a 4.3608
_cell_length_b 4.3608
_cell_length_c 2.7713
_cell_angle_alpha 90.00
_cell_angle_beta 90.00
_cell_angle_gamma 120.00
loop_
_atom_site_label
_atom_site_type_symbol
_atom_site_fract_x
_atom_site_fract_y
_atom_site_fract_z
Al1 Al 0.0000 0.0000 0.0000
Si1 Si 0.3333 0.6667 0.5000
```

Calculated values
The calculation puts the electronic total energy at -4.583 eV/atom.

[5]
Below is a geometry-optimized AlSi structure, with properties calculated at the PBE level.

Geometry as CIF:
```
data_AlSi
_chemical_formula_sum 'Al8 Si8'
_symmetry_space_group_name_H-M 'I -4 3 m'
_symmetry_Int_Tables_number 217
_symmetry_space_group_name_Hall 'I -4 2 3'
_cell_length_a 7.8085
_cell_length_b 7.8085
_cell_length_c 7.8085
_cell_angle_alpha 90.00
_cell_angle_beta 90.00
_cell_angle_gamma 90.00
loop_
_atom_site_label
_atom_site_type_symbol
_atom_site_fract_x
_atom_site_fract_y
_atom_site_fract_z
Al1 Al 0.1494 0.1494 0.1494
Si1 Si 0.1710 0.1710 0.8290
```

Calculated values
The calculation puts the electronic total energy at -4.016 eV/atom.

[6]
Below is a geometry-optimized AlSi5 structure, with properties calculated at the PBE level.

Geometry as CIF:
```
data_AlSi5
_chemical_formula_sum 'Al4 Si20'
_symmetry_space_group_name_H-M 'F -4 3 m'
_symmetry_Int_Tables_number 216
_symmetry_space_group_name_Hall 'F -4 2 3'
_cell_length_a 7.1683
_cell_length_b 7.1683
_cell_length_c 7.1683
_cell_angle_alpha 90.00
_cell_angle_beta 90.00
_cell_angle_gamma 90.00
loop_
_atom_site_label
_atom_site_type_symbol
_atom_site_fract_x
_atom_site_fract_y
_atom_site_fract_z
Al1 Al 0.0000 0.0000 0.0000
Si1 Si 0.1251 0.1251 0.3749
Si2 Si 0.2500 0.2500 0.7500
```

Calculated values
The energy above the lowest structure with this stoichiometry comes out at 0.865 eV/f.u.

[7]
Below is a geometry-optimized AlSi2 structure, with properties calculated at the PBE level.

Geometry as CIF:
```
data_AlSi2
_chemical_formula_sum 'Al4 Si8'
_symmetry_space_group_name_H-M 'F m -3 m'
_symmetry_Int_Tables_number 225
_symmetry_space_group_name_Hall '-F 4 2 3'
_cell_length_a 5.9866
_cell_length_b 5.9866
_cell_length_c 5.9866
_cell_angle_alpha 90.00
_cell_angle_beta 90.00
_cell_angle_gamma 90.00
loop_
_atom_site_label
_atom_site_type_symbol
_atom_site_fract_x
_atom_site_fract_y
_atom_site_fract_z
Al1 Al 0.0000 0.0000 0.0000
Si1 Si 0.2500 0.2500 0.2500
```

Calculated values
The calculation puts the electronic total energy at -4.470 eV/atom.

[8]
Below is a geometry-optimized AlSi4 structure, with properties calculated at the PBE level.

Geometry as CIF:
```
data_AlSi4
_chemical_formula_sum 'Al2 Si8'
_symmetry_space_group_name_H-M 'I 4/m'
_symmetry_Int_Tables_number 87
_symmetry_space_group_name_Hall '-I 4'
_cell_length_a 6.8421
_cell_length_b 6.8421
_cell_length_c 3.2426
_cell_angle_alpha 90.00
_cell_angle_beta 90.00
_cell_angle_gamma 90.00
loop_
_atom_site_label
_atom_site_type_symbol
_atom_site_fract_x
_atom_site_fract_y
_atom_site_fract_z
Al1 Al 0.0000 0.0000 0.0000
Si1 Si 0.1287 0.3362 0.5000
```

Calculated values
The energy above the lowest structure with this stoichiometry comes out at 0.080 eV/f.u.

[9]
Below is a geometry-optimized Al4Si structure, with properties calculated at the PBE level.

Geometry as CIF:
```
data_Al4Si
_chemical_formula_sum 'Al8 Si2'
_symmetry_space_group_name_H-M 'I 4/m m m'
_symmetry_Int_Tables_number 139
_symmetry_space_group_name_Hall '-I 4 2'
_cell_length_a 3.7192
_cell_length_b 3.7192
_cell_length_c 13.2538
_cell_angle_alpha 90.00
_cell_angle_beta 90.00
_cell_angle_gamma 90.00
loop_
_atom_site_label
_atom_site_type_symbol
_atom_site_fract_x
_atom_site_fract_y
_atom_site_fract_z
Al1 Al 0.0000 0.0000 0.0962
Al2 Al 0.0000 0.5000 0.2500
Si1 Si 0.0000 0.0000 0.5000
```

Calculated values
The energy above the lowest structure with this stoichiometry comes out at 1.274 eV/f.u.

[10]
Below is a geometry-optimized AlSi structure, with properties calculated at the PBE level.

Geometry as CIF:
```
data_AlSi
_chemical_formula_sum 'Al1 Si1'
_symmetry_space_group_name_H-M 'P m -3 m'
_symmetry_Int_Tables_number 221
_symmetry_space_group_name_Hall '-P 4 2 3'
_cell_length_a 3.1595
_cell_length_b 3.1595
_cell_length_c 3.1595
_cell_angle_alpha 90.00
_cell_angle_beta 90.00
_cell_angle_gamma 90.00
loop_
_atom_site_label
_atom_site_type_symbol
_atom_site_fract_x
_atom_site_fract_y
_atom_site_fract_z
Al1 Al 0.0000 0.0000 0.0000
Si1 Si 0.5000 0.5000 0.5000
```

Calculated values
The calculation puts the electronic total energy at -4.319 eV/atom.

[11]
Below is a geometry-optimized AlSi structure, with properties calculated at the PBE level.

Geometry as CIF:
```
data_AlSi
_chemical_formula_sum 'Al2 Si2'
_symmetry_space_group_name_H-M 'P -3 m 1'
_symmetry_Int_Tables_number 164
_symmetry_space_group_name_Hall '-P 3 2"'
_cell_length_a 2.7588
_cell_length_b 2.7588
_cell_length_c 9.4204
_cell_angle_alpha 90.00
_cell_angle_beta 90.00
_cell_angle_gamma 120.00
loop_
_atom_site_label
_atom_site_type_symbol
_atom_site_fract_x
_atom_site_fract_y
_atom_site_fract_z
Al1 Al 0.3333 0.6667 0.1306
Si1 Si 0.3333 0.6667 0.6169
```

Calculated values
The calculation puts the electronic total energy at -4.337 eV/atom.

[12]
Below is a geometry-optimized AlSi2 structure, with properties calculated at the PBE level.

Geometry as CIF:
```
data_AlSi2
_chemical_formula_sum 'Al4 Si8'
_symmetry_space_group_name_H-M 'P n m a'
_symmetry_Int_Tables_number 62
_cell_length_a 5.1764
_cell_length_b 4.6218
_cell_length_c 8.0672
_cell_angle_alpha 90.00
_cell_angle_beta 90.00
_cell_angle_gamma 90.00
loop_
_symmetry_equiv_pos_as_xyz
'x,y,z'
'-x,-y,-z'
'-x+1/2,-y,z+1/2'
'x+1/2,y,-z+1/2'
'x+1/2,-y+1/2,-z+1/2'
'-x+1/2,y+1/2,z+1/2'
'-x,y+1/2,-z'
'x,-y+1/2,z'
loop_
_atom_site_label
_atom_site_type_symbol
_atom_site_fract_x
_atom_site_fract_y
_atom_site_fract_z
Al1 Al 0.2492 0.2500 0.0817
Si1 Si 0.2492 0.2500 0.4145
Si2 Si 0.2504 0.2500 0.7499
```

Calculated values
The calculation puts the electronic total energy at -4.624 eV/atom.

Number 1: magnetic moment 0.0 Bohr magnetons per cell, mass density 2888 kg/m³. Number 2: magnetic moment 0.0 Bohr magnetons per cell, mass density 3037 kg/m³. Number 3: magnetic moment 0.0 Bohr magnetons per cell, mass density 3068 kg/m³. Number 4: magnetic moment 0.0 Bohr magnetons per cell, mass density 3025 kg/m³. Number 5: magnetic moment 0.0 Bohr magnetons per cell, mass density 1536 kg/m³. Number 6: magnetic moment 0.0 Bohr magnetons per cell, mass density 3019 kg/m³. Number 7: magnetic moment 0.0 Bohr magnetons per cell, mass density 2574 kg/m³. Number 8: magnetic moment 0.0 Bohr magnetons per cell, mass density 3048 kg/m³. Number 9: magnetic moment 0.0 Bohr magnetons per cell, mass density 2464 kg/m³. Number 10: magnetic moment 0.0 Bohr magnetons per cell, mass density 2899 kg/m³. Number 11: magnetic moment 0.0 Bohr magnetons per cell, mass density 2945 kg/m³. Number 12: magnetic moment 0.0 Bohr magnetons per cell, mass density 2862 kg/m³.